The following is a DFT calculation (PBE-GGA) of a relaxed LiBS2Cl crystal.

Structure (POSCAR):
```
LiBS2Cl
1.0
3.882 0.000 0.000
0.000 3.882 0.000
0.000 0.000 7.448
Li B S Cl
1 1 2 1
Direct
0.000 0.000 0.000
0.500 0.500 0.500
0.000 0.500 0.500
0.500 0.000 0.500
0.500 0.500 0.000
```

Calculated values
Formation energy from raw total energies (eV/atom): -0.031
Space group: P4/mmm (123)